! HoTh2Rh6 | Alexandria | PBE-GGA | relaxed; values from VASP
! - Space-group type: C2/m (12)
! - Energy of formation from the pure elements: -0.479 eV per atom
&SYSTEM
  ibrav = 0, nat = 9, ntyp = 3
/
ATOMIC_SPECIES
Rh 102.91 Rh.upf
Th 232.04 Th.upf
Ho 164.93 Ho.upf
ATOMIC_POSITIONS crystal
Rh 0.1652 0.4186 0.3312
Rh 0.5000 0.2567 0.0000
Th 0.3338 0.3323 0.6645
Ho 0.0000 0.0000 0.0000
Rh 0.8348 0.0873 0.6688
Rh 0.5000 0.7433 0.0000
Rh 0.1652 0.9127 0.3312
Rh 0.8348 0.5814 0.6688
Th 0.6662 0.6677 0.3355
CELL_PARAMETERS angstrom
3.9627 0.0000 -0.1546
0.0000 8.1181 0.0000
-1.7560 -4.0590 5.9749